4
Lattice="3.861 0.000 0.000 0.000 3.861 0.000 0.000 0.000 8.320" Properties=species:S:1:pos:R:3 comment="BaZrSc2, relaxed, DFT PBE-GGA" relative_energy_mev_per_atom=40 spacegroup=P4/mmm pbc="T T T"
Ba 0.000 0.000 0.000
Zr 0.000 0.000 4.160
Sc 1.931 1.931 2.640
Sc 1.931 1.931 5.680

***

6
Lattice="0.000 5.103 5.103 5.103 0.000 5.103 5.103 5.103 0.000" Properties=species:S:1:pos:R:3 comment="Ba4ZrSc, relaxed, DFT PBE-GGA" spacegroup=F-43m dft_energy_ev_per_atom=-2.881 pbc="T T T"
Ba 1.279 1.279 1.279
Ba 3.824 3.824 1.279
Ba 3.824 1.279 3.824
Ba 1.279 3.824 3.824
Zr 5.103 5.103 5.103
Sc 7.654 7.654 7.654

***

4
Lattice="3.390 0.000 0.000 0.000 3.390 0.000 0.000 0.000 10.382" Properties=species:S:1:pos:R:3 comment="BaZrSc2, relaxed, DFT PBE-GGA" relative_energy_mev_per_atom=0 spacegroup=P4/mmm pbc="T T T"
Ba 0.000 0.000 0.000
Zr 0.000 0.000 5.191
Sc 1.695 1.695 3.126
Sc 1.695 1.695 7.256

***

4
Lattice="0.000 3.871 3.871 3.871 0.000 3.871 3.871 3.871 0.000" Properties=species:S:1:pos:R:3 comment="BaZrSc2, relaxed, DFT PBE-GGA" relative_energy_mev_per_atom=305 spacegroup=F-43m pbc="T T T"
Ba 0.000 0.000 0.000
Zr 5.807 5.807 5.807
Sc 1.936 1.936 1.936
Sc 3.871 3.871 3.871

***

4
Lattice="1.659 0.958 12.144 -1.659 0.958 12.144 0.000 -1.916 12.144" Properties=species:S:1:pos:R:3 comment="BaZrSc2, relaxed, DFT PBE-GGA" relative_energy_mev_per_atom=347 spacegroup=R-3m pbc="T T T"
Ba 0.000 0.000 0.000
Zr 0.000 0.000 18.217
Sc 0.000 0.000 15.330
Sc 0.000 0.000 21.104

***

6
Lattice="0.000 4.341 4.341 4.341 0.000 4.341 4.341 4.341 0.000" Properties=species:S:1:pos:R:3 comment="BaZr4Sc, relaxed, DFT PBE-GGA" spacegroup=F-43m dft_energy_ev_per_atom=-6.586 pbc="T T T"
Ba 0.000 0.000 0.000
Zr 3.282 3.282 3.282
Zr 5.400 5.400 3.282
Zr 5.400 3.282 5.400
Zr 3.282 5.400 5.400
Sc 6.512 6.512 6.512

***

3
Lattice="3.463 0.000 0.000 -1.732 2.999 0.000 0.000 0.000 8.761" Properties=species:S:1:pos:R:3 comment="BaZrSc, relaxed, DFT PBE-GGA" relative_energy_mev_per_atom=48 spacegroup=P3m1 pbc="T T T"
Ba 0.000 0.000 0.000
Zr 1.732 1.000 5.637
Sc 0.000 2.000 3.275

***

4
Lattice="-1.753 2.883 5.775 1.753 -2.883 5.775 1.753 2.883 -5.775" Properties=species:S:1:pos:R:3 comment="BaZrSc2, relaxed, DFT PBE-GGA" relative_energy_mev_per_atom=220 spacegroup=Immm pbc="T T T"
Ba 0.000 0.000 0.000
Zr 0.000 0.000 5.775
Sc 1.753 0.000 3.203
Sc 0.000 2.883 2.572

***

3
Lattice="0.000 3.655 3.655 3.655 0.000 3.655 3.655 3.655 0.000" Properties=species:S:1:pos:R:3 comment="BaZrSc, relaxed, DFT PBE-GGA" relative_energy_mev_per_atom=1048 spacegroup=F-43m pbc="T T T"
Ba 0.000 0.000 0.000
Zr 5.482 5.482 5.482
Sc 1.827 1.827 1.827

***

4
Lattice="0.000 3.855 3.855 3.855 0.000 3.855 3.855 3.855 0.000" Properties=species:S:1:pos:R:3 comment="BaZrSc2, relaxed, DFT PBE-GGA" relative_energy_mev_per_atom=214 spacegroup=Fm-3m pbc="T T T"
Ba 0.000 0.000 0.000
Zr 3.855 3.855 3.855
Sc 1.928 1.928 1.928
Sc 5.783 5.783 5.783

***

4
Lattice="5.314 -1.664 0.000 5.314 1.664 0.000 -0.742 0.000 6.718" Properties=species:S:1:pos:R:3 comment="BaZrSc2, relaxed, DFT PBE-GGA" relative_energy_mev_per_atom=119 spacegroup=C2/m pbc="T T T"
Ba 0.000 0.000 0.000
Zr 4.943 0.000 3.359
Sc 2.024 0.000 4.659
Sc 7.863 0.000 2.059

***

3
Lattice="-1.759 2.219 6.107 1.759 -2.219 6.107 1.759 2.219 -6.107" Properties=species:S:1:pos:R:3 comment="BaZrSc, relaxed, DFT PBE-GGA" relative_energy_mev_per_atom=123 spacegroup=Imm2 pbc="T T T"
Ba 0.000 0.000 0.000
Zr 0.000 0.000 3.711
Sc 0.000 0.000 8.521